Material: Pm5TmSc3
Method: DFT, PBE-GGA
State: relaxed

Properties
SG: C2/m (12)
Total DFT energy (no corrections) (eV/cell): -86.19

```
Pm5TmSc3
1.0
5.755 -5.752 0.000
5.755 5.752 0.000
-2.508 0.000 9.234
Pm Tm Sc
10 2 6
Cartesian
3.269 2.881 3.251
1.633 0.000 3.859
5.755 2.912 0.000
2.661 0.000 0.766
5.733 2.881 5.983
3.269 -2.881 3.251
6.341 0.000 8.468
5.755 -2.912 0.000
7.368 0.000 5.375
5.733 -2.881 5.983
1.150 0.000 7.067
7.852 0.000 2.167
-1.254 0.000 4.617
-2.019 0.000 7.642
4.052 0.000 6.060
5.755 0.000 0.000
4.949 0.000 3.174
11.021 0.000 1.591
```



Material: Ti3CrIr
Method: DFT, PBE-GGA
State: relaxed

Properties
SG: Pm-3m (221)
Distance to the lowest polymorph of the same formula (meV/atom): 0

```
Ti3CrIr
1.0
4.380 0.000 0.000
0.000 4.380 0.000
0.000 0.000 4.380
Ti Cr Ir
3 1 1
Cartesian
0.000 0.000 2.190
0.000 2.190 0.000
2.190 0.000 0.000
0.000 0.000 0.000
2.190 2.190 2.190
```



Material: Pu12SnRh7
Method: DFT, PBE-GGA
State: relaxed

Properties
SG: R-3 (148)
Total DFT energy (no corrections) (eV/cell): -229.68

```
Pu12SnRh7
1.0
5.113 2.952 4.010
-5.113 2.952 4.010
0.000 -5.904 4.010
Pu Sn Rh
12 1 7
Cartesian
-2.578 -0.436 4.946
-0.613 -2.936 4.663
-2.850 -0.937 7.368
-2.236 1.999 4.663
-0.912 -2.450 7.085
1.666 -2.015 4.946
-1.666 2.015 7.085
0.912 2.450 4.946
2.236 -1.999 7.368
2.850 0.937 4.663
0.613 2.936 7.368
2.578 0.436 7.085
0.000 0.000 0.000
-1.577 0.496 2.252
0.359 -1.614 2.252
1.218 1.118 2.252
0.000 0.000 6.015
-1.218 -1.118 9.778
-0.359 1.614 9.778
1.577 -0.496 9.778
```



Material: TmCrGa
Method: DFT, PBE-GGA
State: relaxed

Properties
SG: C2/m (12)
Total DFT energy (no corrections) (eV/cell): -34.48

```
TmCrGa
1.0
5.433 -2.051 0.000
5.433 2.051 0.000
-1.168 0.000 5.192
Tm Cr Ga
2 2 2
Cartesian
0.850 0.000 1.557
8.849 0.000 3.635
1.459 0.000 4.587
8.240 0.000 0.605
4.004 0.000 1.495
5.695 0.000 3.697
```



Material: PPb
Method: DFT, PBE-GGA
State: relaxed

Properties
SG: P-3m1 (164)
Total DFT energy (no corrections) (eV/cell): -53.64

```
PPb
1.0
3.424 0.000 0.000
-1.712 2.965 0.000
0.000 0.000 29.652
P Pb
6 6
Cartesian
0.000 0.000 5.505
0.000 0.000 24.147
0.000 1.977 4.328
0.000 1.977 14.239
1.712 0.988 15.414
1.712 0.988 25.324
0.000 0.000 11.199
0.000 0.000 18.453
0.000 1.977 21.300
0.000 1.977 28.230
1.712 0.988 1.422
1.712 0.988 8.352
```



Material: CePrIr4
Method: DFT, PBE-GGA
State: relaxed

Properties
SG: F-43m (216)
Total DFT energy (no corrections) (eV/cell): -50.43

```
CePrIr4
1.0
0.000 3.838 3.838
3.838 0.000 3.838
3.838 3.838 0.000
Ce Pr Ir
1 1 4
Cartesian
0.000 0.000 0.000
1.919 1.919 1.919
4.798 2.879 2.879
2.879 4.798 2.879
2.879 2.879 4.798
4.798 4.798 4.798
```



Computed calculated volume, in the same sequence as the records: 611.3 84.0 363.2 115.7 301.0 113.1 Å³/cell.
Computed DOS at the Fermi energy, in the same sequence as the records: 27.11 6.31 47.54 6.07 6.66 6.28 states/eV per cell.